Computed, not measured: a relaxed NaTeN2F crystal at the GGA-PBE level of DFT.

Calculated values
Symmetry ... P4/mmm
Energy ... -2.83 eV/atom
Raw formation energy ... 170 kJ/mol of atoms
E above lowest polymorph ... 1.614 eV per atom

Cell lengths 4.3466, 4.3466, 6.3578 Å; angles 90.00, 90.00, 90.00 degrees
Closest atoms and distances in Å follow each position.
Element x y z (fractional)
Te 0.0000 0.0000 0.5000  4 F 3.07, 2 Na 3.18
N 0.0000 0.5000 0.0000  2 Na 2.17
N 0.5000 0.0000 0.0000  2 Na 2.17
Na 0.0000 0.0000 0.0000  4 N 2.17
F 0.5000 0.5000 0.5000  4 Te 3.07



Computed, not measured: a relaxed NaTe2NF crystal at the GGA-PBE level of DFT.

Calculated values
Symmetry ... P4/mmm
Energy ... -2.36 eV/atom
Raw formation energy ... 115 kJ/mol of atoms
E above lowest polymorph ... 0.514 eV per atom

Cell lengths 5.3066, 5.3066, 4.1129 Å; angles 90.00, 90.00, 90.00 degrees
Closest atoms and distances in Å follow each position.
Element x y z (fractional)
Te 0.0000 0.5000 0.0000  2 Na 2.65
Te 0.5000 0.0000 0.0000  2 Na 2.65
F 0.5000 0.5000 0.5000  8 Te 3.36, 4 N 3.75
N 0.0000 0.0000 0.5000  2 Na 2.06
Na 0.0000 0.0000 0.0000  2 N 2.06



Computed, not measured: a relaxed NaTeNF2 crystal at the GGA-PBE level of DFT.

Calculated values
Symmetry ... P4/mmm
Energy ... -3.50 eV/atom
Raw formation energy ... -19 kJ/mol of atoms
E above lowest polymorph ... 0.675 eV per atom

Cell lengths 3.9363, 3.9363, 4.6423 Å; angles 90.00, 90.00, 90.00 degrees
Closest atoms and distances in Å follow each position.
Element x y z (fractional)
Na 0.0000 0.0000 0.0000  4 F 1.97
Te 0.5000 0.5000 0.5000  4 N 2.78, 8 F 3.04
N 0.0000 0.0000 0.5000  2 Na 2.32
F 0.0000 0.5000 0.0000  2 Na 1.97
F 0.5000 0.0000 0.0000  2 Na 1.97



Computed, not measured: a relaxed NaTeN2F crystal at the GGA-PBE level of DFT.

Calculated values
Symmetry ... P4/mmm
Energy ... -3.43 eV/atom
Raw formation energy ... 113 kJ/mol of atoms
E above lowest polymorph ... 1.021 eV per atom

Cell lengths 4.3557, 4.3557, 3.8466 Å; angles 90.00, 90.00, 90.00 degrees
Closest atoms and distances in Å follow each position.
Element x y z (fractional)
N 0.0000 0.5000 0.0000  2 Na 2.18
N 0.5000 0.0000 0.0000  2 Na 2.18
Na 0.0000 0.0000 0.0000  2 F 1.92
Te 0.5000 0.5000 0.5000  8 N 2.91, 4 F 3.08
F 0.0000 0.0000 0.5000  2 Na 1.92



Computed, not measured: a relaxed NaTeN2F crystal at the GGA-PBE level of DFT.

Calculated values
Symmetry ... P4/mmm
Energy ... -4.45 eV/atom
Raw formation energy ... 14 kJ/mol of atoms
E above lowest polymorph ... 0.000 eV per atom

Cell lengths 3.9940, 3.9940, 4.5859 Å; angles 90.00, 90.00, 90.00 degrees
Closest atoms and distances in Å follow each position.
Element x y z (fractional)
F 0.0000 0.0000 0.5000  2 Te 2.29
Na 0.5000 0.5000 0.5000  4 F 2.82, 8 N 3.04
N 0.5000 0.0000 0.0000  2 Te 2.00
N 0.0000 0.5000 0.0000  2 Te 2.00
Te 0.0000 0.0000 0.0000  4 N 2.00



Computed, not measured: a relaxed NaTiN2F crystal at the GGA-PBE level of DFT.

Calculated values
Symmetry ... P4/mmm
Energy ... -6.47 eV/atom
Raw formation energy ... -89 kJ/mol of atoms
E above lowest polymorph ... 0.000 eV per atom

Cell lengths 3.8950, 3.8950, 4.1941 Å; angles 90.00, 90.00, 90.00 degrees
Closest atoms and distances in Å follow each position.
Element x y z (fractional)
N 0.5000 0.0000 0.0000  2 Ti 1.95
N 0.0000 0.5000 0.0000  2 Ti 1.95
Na 0.5000 0.5000 0.5000  4 F 2.75, 8 N 2.86
F 0.0000 0.0000 0.5000  2 Ti 2.10
Ti 0.0000 0.0000 0.0000  4 N 1.95, 2 F 2.10



Computed, not measured: a relaxed NaTiN2F crystal at the GGA-PBE level of DFT.

Calculated values
Symmetry ... P4/mmm
Energy ... -4.76 eV/atom
Raw formation energy ... 76 kJ/mol of atoms
E above lowest polymorph ... 1.705 eV per atom

Cell lengths 4.0947, 4.0947, 3.7248 Å; angles 90.00, 90.00, 90.00 degrees
Closest atoms and distances in Å follow each position.
Element x y z (fractional)
N 0.0000 0.5000 0.0000  2 Na 2.05
N 0.5000 0.0000 0.0000  2 Na 2.05
Ti 0.5000 0.5000 0.5000  8 N 2.77, 4 F 2.90
F 0.0000 0.0000 0.5000  2 Na 1.86
Na 0.0000 0.0000 0.0000  2 F 1.86, 4 N 2.05



Computed, not measured: a relaxed NaTlN2F crystal at the GGA-PBE level of DFT.

Calculated values
Symmetry ... P4/mmm
Energy ... -3.57 eV/atom
Raw formation energy ... 84 kJ/mol of atoms
E above lowest polymorph ... 0.240 eV per atom

Cell lengths 4.7418, 4.7418, 4.2600 Å; angles 90.00, 90.00, 90.00 degrees
Closest atoms and distances in Å follow each position.
Element x y z (fractional)
N 0.0000 0.5000 0.0000  2 Na 2.37
N 0.5000 0.0000 0.0000  2 Na 2.37
Tl 0.5000 0.5000 0.5000  8 N 3.19, 4 F 3.35
F 0.0000 0.0000 0.5000  2 Na 2.13
Na 0.0000 0.0000 0.0000  2 F 2.13, 4 N 2.37



Computed, not measured: a relaxed NaTlN2F6 crystal at the GGA-PBE level of DFT.

Calculated values
Symmetry ... Fm-3m
Energy ... -3.29 eV/atom
Raw formation energy ... -13 kJ/mol of atoms

Cell lengths 6.2041, 6.2041, 6.2041 Å; angles 60.00, 60.00, 60.00 degrees
Closest atoms and distances in Å follow each position.
Element x y z (fractional)
F 0.7571 0.7571 0.2429  1 Tl 2.13, 1 Na 2.26
F 0.2429 0.2429 0.7571  1 Tl 2.13, 1 Na 2.26
F 0.2429 0.7571 0.2429  1 Tl 2.13, 1 Na 2.26
F 0.2429 0.7571 0.7571  1 Tl 2.13, 1 Na 2.26
F 0.7571 0.2429 0.7571  1 Tl 2.13, 1 Na 2.26
F 0.7571 0.2429 0.2429  1 Tl 2.13, 1 Na 2.26
Tl 0.0000 0.0000 0.0000  6 F 2.13
N 0.2500 0.2500 0.2500  12 F 3.10
N 0.7500 0.7500 0.7500  12 F 3.10
Na 0.5000 0.5000 0.5000  6 F 2.26



Computed, not measured: a relaxed NaTlN2F crystal at the GGA-PBE level of DFT.

Calculated values
Symmetry ... P4/mmm
Energy ... -3.81 eV/atom
Raw formation energy ... 61 kJ/mol of atoms
E above lowest polymorph ... 0.000 eV per atom

Cell lengths 4.3451, 4.3451, 4.7782 Å; angles 90.00, 90.00, 90.00 degrees
Closest atoms and distances in Å follow each position.
Element x y z (fractional)
Na 0.5000 0.5000 0.5000  4 F 3.07, 8 N 3.23
F 0.0000 0.0000 0.5000  2 Tl 2.39
N 0.0000 0.5000 0.0000  2 Tl 2.17
N 0.5000 0.0000 0.0000  2 Tl 2.17
Tl 0.0000 0.0000 0.0000  4 N 2.17, 2 F 2.39



Number 1: total magnetization 1.101 μB/atom. Number 2: total magnetization 0.001 μB/atom. Number 3: total magnetization 0.060 μB/atom. Number 4: total magnetization 0.483 μB/atom. Number 5: total magnetization 0.000 μB/atom. Number 6: total magnetization 0.000 μB/atom. Number 7: total magnetization 0.398 μB/atom. Number 8: total magnetization 1.000 μB/atom. Number 9: total magnetization 0.603 μB/atom. Number 10: total magnetization 0.501 μB/atom.